Here is a relaxed MnAsPbBr2 crystal from the Alexandria database. Energies are from PBE.

Summary:
- raw total energy (eV/atom) = -4.278
- uncorrected formation energy (meV/atom) = -103

Cell and atoms, written as CIF:
```
data_MnAsPbBr2
_symmetry_space_group_name_H-M 'P 4/m m m'
_symmetry_Int_Tables_number 123
_symmetry_space_group_name_Hall '-P 4 2'
_cell_length_a 5.081
_cell_length_b 5.081
_cell_length_c 5.162
_cell_angle_alpha 90.00
_cell_angle_beta 90.00
_cell_angle_gamma 90.00
loop_
_atom_site_label
_atom_site_fract_x
_atom_site_fract_y
_atom_site_fract_z
Mn1 0.000 0.000 0.000
As1 0.000 0.000 0.500
Pb1 0.500 0.500 0.500
Br1 0.000 0.500 0.000
```